! Ni2AsIF PBE+U optimized geometry; values from VASP
&SYSTEM
  ibrav = 0, nat = 5, ntyp = 4
/
ATOMIC_SPECIES
Ni 58.69 Ni.upf
As 74.92 As.upf
I 126.90 I.upf
F 19.00 F.upf
CELL_PARAMETERS angstrom
4.151 0.000 0.000
0.000 4.151 0.000
0.000 0.000 5.790
ATOMIC_POSITIONS angstrom
Ni 0.000 2.075 0.000
Ni 2.075 0.000 0.000
As 0.000 0.000 2.895
I 2.075 2.075 2.895
F 2.075 2.075 0.000
! VASP energy: -0.1773 Ry/atom
! Symmetry: P4/mmm
! Density of states at the Fermi level: 0.334 states/eV per atom